No. 1
A relaxed TbThTePt crystal. Source: Alexandria, functional PBE-GGA.

Values from the calculation:
Energy relative to the elements, uncorrected (kJ/mol of atoms): -116.33
Magnetic moment (μB per formula unit): 0.000

Cell: 4.1982 4.1982 22.8062 Å, 90.00 90.00 120.00°
Space group R3m (No. 160, hexagonal axes)
One atom of each set of equivalent atoms:
Tb1 0.0000 0.0000 0.0000 [3 per cell]
Th1 0.0000 0.0000 0.8064 [3 per cell]
Te1 0.0000 0.0000 0.2381 [3 per cell]
Pt1 0.0000 0.0000 0.4044 [3 per cell]

---

No. 2
A relaxed Tb2Th2Pt15 crystal. Source: Alexandria, functional PBE-GGA.

Values from the calculation:
Calculated formation energy (eV/f.u.): -14.80
Magnetic moment (μB per formula unit): 0.000

Cell: 9.3588 9.3588 13.8896 Å, 90.00 90.00 120.00°
Space group R-3m (No. 166, hexagonal axes)
One atom of each set of equivalent atoms:
Tb1 0.0000 0.0000 0.1056 [6 per cell]
Th1 0.0000 0.0000 0.3570 [6 per cell]
Pt1 0.0000 0.3173 0.0000 [18 per cell]
Pt2 0.0000 0.5000 0.5000 [9 per cell]
Pt3 0.0066 0.5033 0.1567 [18 per cell]

---

No. 3
A relaxed TbThPt2 crystal. Source: Alexandria, functional PBE-GGA.

Values from the calculation:
Calculated formation energy (eV/f.u.): -4.86
Magnetic moment (μB per formula unit): 0.000
Energy above the lowest structure with this stoichiometry (meV/atom): 62

Cell: 4.1384 4.1384 20.3465 Å, 90.00 90.00 120.00°
Space group R-3m (No. 166, hexagonal axes)
One atom of each set of equivalent atoms:
Tb1 0.0000 0.0000 0.0000 [3 per cell]
Th1 0.0000 0.0000 0.5000 [3 per cell]
Pt1 0.0000 0.0000 0.2501 [6 per cell]

---

No. 4
A relaxed TbThPt crystal. Source: Alexandria, functional PBE-GGA.

Values from the calculation:
Calculated formation energy (eV/f.u.): -1.69
Magnetic moment (μB per formula unit): 0.000
Energy above the lowest structure with this stoichiometry (meV/atom): 162

Cell: 4.7474 4.7474 4.0914 Å, 90.00 90.00 120.00°
Space group P3m1 (No. 156)
One atom of each set of equivalent atoms:
Tb1 0.0000 0.0000 0.0000 [1 per cell]
Th1 0.3333 0.6667 0.5349 [1 per cell]
Pt1 0.6667 0.3333 0.2372 [1 per cell]

---

| no. | calculated volume (Å³ per cell) |
| --- | --- |
| 1 | 348 |
| 2 | 1054 |
| 3 | 302 |
| 4 | 80 |